Entry 1:
Material: Zr2CrPb
Method: DFT, PBE
State: optimized geometry

Results
The total magnetization is 0.0 μB per formula unit. The calculation puts the formation energy at 0.188 eV per atom.

Lattice parameters (Å, degrees): 9.202 9.202 9.202 20.74 20.74 20.74
Element x y z (fractional)
Cr1 0.250 0.250 0.250
Zr1 0.986 0.986 0.986
Zr2 0.514 0.514 0.514
Pb1 0.750 0.750 0.750

=====

Entry 2:
Material: KSiPb2
Method: DFT, PBE
State: optimized geometry

Results
The total magnetization is 0.0 μB per formula unit. Its formation energy without anion corrections is 0.10 eV/atom.

Lattice parameters (Å, degrees): 7.688 7.688 7.688 149.15 145.16 47.21
Element x y z (fractional)
Si1 0.526 0.526 0.000
Pb1 0.004 0.004 0.000
Pb2 0.665 0.165 0.500
K1 0.305 0.805 0.500